Material: NaCoSO
Method: DFT, PBE with a Hubbard U
State: optimized geometry

a = 3.759 Å, b = 3.759 Å, c = 9.039 Å
α = 90.00°, β = 90.00°, γ = 90.00°
Element x y z (fractional)
1 Na 0.250 0.750 0.000
2 Na 0.750 0.250 0.000
3 Co 0.250 0.250 0.420
4 Co 0.750 0.750 0.580
5 S 0.250 0.250 0.788
6 S 0.750 0.750 0.212
7 O 0.250 0.750 0.500
8 O 0.750 0.250 0.500

Properties
DFT total energy	-4.19	eV/atom
energy above the lowest structure with this stoichiometry	0.509	eV per atom